{"formula": "CeTmGa", "functional": "PBE-GGA", "state": "relaxed", "cell": [[6.980, 0.000, 0.000], [0.000, 6.980, 0.000], [0.000, 0.000, 6.980]], "species": ["Ce", "Ce", "Ce", "Ce", "Tm", "Tm", "Tm", "Tm", "Ga", "Ga", "Ga", "Ga"], "frac_coords": [[0.000, 0.000, 0.000], [0.000, 0.500, 0.500], [0.500, 0.000, 0.500], [0.500, 0.500, 0.000], [0.000, 0.000, 0.500], [0.000, 0.500, 0.000], [0.500, 0.000, 0.000], [0.500, 0.500, 0.500], [0.250, 0.250, 0.750], [0.250, 0.750, 0.250], [0.750, 0.250, 0.250], [0.750, 0.750, 0.750]], "spacegroup": "F-43m, No. 216", "polymorph_energy_mev_per_atom": 140, "e_form_ev_per_atom": -0.16}

{"formula": "PuZn2Br8", "functional": "PBE-GGA", "state": "relaxed", "cell": [[7.076, -4.433, 0.000], [7.076, 4.433, 0.000], [-0.180, 0.000, 6.598]], "species": ["Pu", "Zn", "Zn", "Br", "Br", "Br", "Br", "Br", "Br", "Br", "Br"], "frac_coords": [[0.000, 0.000, 0.000], [0.182, 0.182, 0.626], [0.818, 0.818, 0.374], [0.129, 0.701, 0.245], [0.164, 0.164, 0.244], [0.299, 0.871, 0.755], [0.343, 0.343, 0.694], [0.657, 0.657, 0.306], [0.701, 0.129, 0.245], [0.836, 0.836, 0.756], [0.871, 0.299, 0.755]], "spacegroup": "C2/m, No. 12", "raw_formation_energy_mev_per_atom": -999}

{"formula": "Tb12PrNd5", "functional": "PBE-GGA", "state": "relaxed", "cell": [[5.737, -8.714, 0.000], [5.737, 8.714, 0.000], [-0.001, 0.000, 6.011]], "species": ["Tb", "Tb", "Tb", "Tb", "Tb", "Tb", "Tb", "Tb", "Tb", "Tb", "Tb", "Tb", "Pr", "Nd", "Nd", "Nd", "Nd", "Nd"], "frac_coords": [[0.012, 0.345, 0.054], [0.155, 0.488, 0.555], [0.177, 0.177, 0.447], [0.322, 0.322, 0.947], [0.345, 0.012, 0.054], [0.488, 0.155, 0.555], [0.512, 0.845, 0.445], [0.655, 0.988, 0.946], [0.678, 0.678, 0.053], [0.823, 0.823, 0.553], [0.845, 0.512, 0.445], [0.988, 0.655, 0.946], [0.500, 0.500, 0.500], [0.000, 0.000, 0.000], [0.167, 0.833, 0.500], [0.333, 0.667, 0.000], [0.667, 0.333, 0.000], [0.833, 0.167, 0.500]], "spacegroup": "C2/m, No. 12", "e_form_ev_per_atom": 0.10}

{"formula": "Cs3DyBr6", "functional": "PBE-GGA", "state": "relaxed", "cell": [[8.458, 0.000, 0.000], [0.000, 8.946, 0.000], [-8.317, 0.000, 12.087]], "species": ["Cs", "Cs", "Cs", "Cs", "Cs", "Cs", "Dy", "Dy", "Br", "Br", "Br", "Br", "Br", "Br", "Br", "Br", "Br", "Br", "Br", "Br"], "frac_coords": [[0.000, 0.000, 0.000], [0.000, 0.500, 0.500], [0.220, 0.069, 0.746], [0.220, 0.431, 0.246], [0.780, 0.569, 0.754], [0.780, 0.931, 0.254], [0.500, 0.000, 0.500], [0.500, 0.500, 0.000], [0.183, 0.172, 0.451], [0.183, 0.328, 0.951], [0.272, 0.738, 0.434], [0.272, 0.762, 0.934], [0.394, 0.044, 0.282], [0.394, 0.456, 0.782], [0.606, 0.544, 0.218], [0.606, 0.956, 0.718], [0.728, 0.238, 0.066], [0.728, 0.262, 0.566], [0.817, 0.672, 0.049], [0.817, 0.828, 0.549]], "spacegroup": "P2_1/c, No. 14", "raw_formation_energy_mev_per_atom": -1875}

{"formula": "Ca2In2Rh5Pb", "functional": "PBE-GGA", "state": "relaxed", "cell": [[10.241, 0.000, 0.000], [0.000, 10.241, 0.000], [0.000, 0.000, 3.747]], "species": ["Ca", "Ca", "Ca", "Ca", "In", "In", "In", "In", "Rh", "Rh", "Rh", "Rh", "Rh", "Rh", "Rh", "Rh", "Rh", "Rh", "Pb", "Pb"], "frac_coords": [[0.170, 0.330, 0.000], [0.330, 0.830, 0.000], [0.670, 0.170, 0.000], [0.830, 0.670, 0.000], [0.129, 0.629, 0.000], [0.371, 0.129, 0.000], [0.629, 0.871, 0.000], [0.871, 0.371, 0.000], [0.000, 0.500, 0.500], [0.062, 0.802, 0.500], [0.198, 0.062, 0.500], [0.302, 0.562, 0.500], [0.438, 0.302, 0.500], [0.500, 0.000, 0.500], [0.562, 0.698, 0.500], [0.698, 0.438, 0.500], [0.802, 0.938, 0.500], [0.938, 0.198, 0.500], [0.000, 0.000, 0.000], [0.500, 0.500, 0.000]], "spacegroup": "P4/mbm, No. 127", "e_form_ev_per_atom": -0.30}

{"formula": "LaHfAg", "functional": "PBE-GGA", "state": "relaxed", "cell": [[5.428, 0.000, 0.000], [0.000, 3.313, 0.000], [-1.749, 0.000, 8.369]], "species": ["La", "La", "Hf", "Hf", "Ag", "Ag"], "frac_coords": [[0.145, 0.250, 0.206], [0.855, 0.750, 0.794], [0.270, 0.750, 0.552], [0.730, 0.250, 0.448], [0.380, 0.250, 0.864], [0.620, 0.750, 0.136]], "spacegroup": "P2_1/m, No. 11", "polymorph_energy_mev_per_atom": 60, "e_form_ev_per_atom": 0.03}

{"formula": "SmYSnPb", "functional": "PBE-GGA", "state": "relaxed", "cell": [[7.714, 0.000, 0.000], [0.000, 7.714, 0.000], [0.000, 0.000, 7.714]], "species": ["Sm", "Sm", "Sm", "Sm", "Y", "Y", "Y", "Y", "Sn", "Sn", "Sn", "Sn", "Pb", "Pb", "Pb", "Pb"], "frac_coords": [[0.000, 0.000, 0.000], [0.000, 0.500, 0.500], [0.500, 0.000, 0.500], [0.500, 0.500, 0.000], [0.000, 0.000, 0.500], [0.000, 0.500, 0.000], [0.500, 0.000, 0.000], [0.500, 0.500, 0.500], [0.250, 0.250, 0.250], [0.250, 0.750, 0.750], [0.750, 0.250, 0.750], [0.750, 0.750, 0.250], [0.250, 0.250, 0.750], [0.250, 0.750, 0.250], [0.750, 0.250, 0.250], [0.750, 0.750, 0.750]], "spacegroup": "F-43m, No. 216", "e_form_ev_per_atom": -0.49}

{"formula": "Fe2PbAu", "functional": "PBE-GGA", "state": "relaxed", "cell": [[3.069, 0.000, 0.000], [0.000, 3.069, 0.000], [0.000, 0.000, 7.406]], "species": ["Fe", "Fe", "Pb", "Au"], "frac_coords": [[0.000, 0.000, 0.225], [0.000, 0.000, 0.775], [0.500, 0.500, 0.500], [0.500, 0.500, 0.000]], "spacegroup": "P4/mmm, No. 123", "e_form_ev_per_atom": 0.48}

{"formula": "ZrSI2O", "functional": "PBE-GGA", "state": "relaxed", "cell": [[5.884, 0.000, 0.000], [0.000, 5.884, 0.000], [0.000, 0.000, 4.020]], "species": ["Zr", "S", "I", "I", "O"], "frac_coords": [[0.000, 0.000, 0.000], [0.500, 0.500, 0.500], [0.000, 0.500, 0.000], [0.500, 0.000, 0.000], [0.000, 0.000, 0.500]], "spacegroup": "P4/mmm, No. 123", "polymorph_energy_mev_per_atom": 0, "raw_formation_energy_mev_per_atom": -692}

{"formula": "Li2Zr2AlSe6", "functional": "PBE-GGA", "state": "relaxed", "cell": [[3.297, -5.736, 0.000], [3.297, 5.736, 0.000], [-2.197, 0.000, 6.474]], "species": ["Li", "Li", "Zr", "Zr", "Al", "Se", "Se", "Se", "Se", "Se", "Se"], "frac_coords": [[0.170, 0.830, 0.000], [0.830, 0.170, 0.000], [0.332, 0.668, 0.500], [0.668, 0.332, 0.500], [0.000, 0.000, 0.500], [0.081, 0.402, 0.740], [0.236, 0.236, 0.268], [0.402, 0.081, 0.740], [0.598, 0.919, 0.260], [0.764, 0.764, 0.732], [0.919, 0.598, 0.260]], "spacegroup": "C2/m, No. 12", "raw_formation_energy_mev_per_atom": -1199}

{"formula": "Sm3AgRh", "functional": "PBE-GGA", "state": "relaxed", "cell": [[7.694, 0.000, 0.000], [0.000, 4.628, 0.000], [-0.478, 0.000, 7.827]], "species": ["Sm", "Sm", "Sm", "Sm", "Sm", "Sm", "Ag", "Ag", "Rh", "Rh"], "frac_coords": [[0.037, 0.250, 0.179], [0.314, 0.750, 0.446], [0.367, 0.250, 0.881], [0.633, 0.750, 0.119], [0.686, 0.250, 0.554], [0.963, 0.750, 0.821], [0.094, 0.250, 0.575], [0.906, 0.750, 0.425], [0.248, 0.750, 0.077], [0.752, 0.250, 0.923]], "spacegroup": "P2_1/m, No. 11", "polymorph_energy_mev_per_atom": 17, "e_form_ev_per_atom": -0.39}

no.,N(E_F) (states/eV/f.u.)
1,7.76
2,6.69
3,28.82
4,0.00
5,6.86
6,2.42
7,4.18
8,3.95
9,2.65
10,3.06
11,3.45